Entry from Alexandria via LeMat-Bulk: a relaxed structure of Nd2SmPbC (PBE).

a b c (Å): 5.135 5.135 5.063
angles (deg): 90.00 90.00 90.00
Atoms (fractional coordinates):
Nd1 0.000 0.500 0.000
Nd2 0.500 0.000 0.000
Sm1 0.000 0.000 0.500
Pb1 0.500 0.500 0.500
C1 0.000 0.000 0.000

Values from the calculation:
total magnetization: 0.000 μB per cell
calculated volume: 26.71 Å³ per atom
Fermi-level density of states: 0.523 states/eV/atom
formation enthalpy at 0 K: -0.4187 eV/atom